No. 1
Density functional theory data (PBEsol) for a relaxed BaCu2Br crystal.

Unit cell a=4.2630 b=4.8740 c=4.8058 alpha=90.00 beta=90.00 gamma=90.00
Fractional positions:
Br 0.5000 0.5000 0.5000
Cu 0.5000 0.7569 0.0000
Ba 0.0000 0.0000 0.5000
Cu 0.5000 0.2431 0.0000

Computed properties:
ρ (g cm⁻³): 5.73
DOS(E_F) (states/eV per atom): 0.55
Formation energy from raw total energies (meV per atom): -237.5
Electronic total energy (Ry per atom): -0.25058
Relative energy among the computed polymorphs (eV/atom): 0.0058

=====

No. 2
Density functional theory data (PBEsol) for a relaxed BaCu2Br crystal.

Unit cell a=4.3355 b=4.9228 c=6.0538 alpha=106.06 beta=110.98 gamma=90.00
Fractional positions:
Cu 0.7857 0.5748 0.5715
Br 0.0000 0.0000 0.0000
Ba 0.5000 0.5000 0.0000
Cu 0.2143 0.4252 0.4285

Computed properties:
ρ (g cm⁻³): 4.96
DOS(E_F) (states/eV per atom): 0.22
Formation energy from raw total energies (meV per atom): -243.3
Electronic total energy (Ry per atom): -0.25100
Relative energy among the computed polymorphs (eV/atom): 0.0000